Entry from Alexandria via LeMat-Bulk: a geometry-optimized TbCe2In2Ag2 structure (PBE).

## Properties
- Space-group type: R-3m, No. 166
- DFT total energy: -4.19 eV per atom
- DFT formation energy: -0.24 eV per atom
- Total magnetization: 1.7 μB/f.u.

Lattice parameters (Å, degrees): 9.215 9.215 9.215 30.01 30.01 30.01
Element x y z (fractional)
Tb1 0.000 0.000 0.000
Ce1 0.140 0.140 0.140
Ce2 0.860 0.860 0.860
In1 0.267 0.267 0.267
In2 0.733 0.733 0.733
Ag1 0.406 0.406 0.406
Ag2 0.594 0.594 0.594